(1)
Density functional theory data (PBE) for crystalline Ba2NiH6Rh at its relaxed geometry.

Structure (extended XYZ):
```
10
Lattice="5.363 0.000 0.000 0.000 5.363 0.000 2.681 2.682 4.307" Properties=species:S:1:pos:R:3 pbc="T T T"
H 2.681 2.681 2.705
H 3.955 1.408 0.000
H 1.408 3.955 0.000
H 3.955 3.955 0.000
H 5.363 5.363 1.602
H 4.089 4.090 4.307
Rh 2.681 2.681 0.000
Ba 5.363 2.681 2.154
Ba 2.681 5.363 2.154
Ni 0.000 0.000 0.000
```

Computed properties:
* energy: -4.11 eV/atom

***

(2)
Density functional theory data (PBE) for crystalline MgCuTe2 at its relaxed geometry.

Structure (extended XYZ):
```
4
Lattice="-1.385 -0.767 3.646 -6.267 -1.356 -2.666 0.979 -3.716 -0.410" Properties=species:S:1:pos:R:3 pbc="T T T"
Te -3.826 -1.062 0.490
Te 0.000 0.000 0.000
Cu -0.203 -2.242 1.618
Mg -2.644 -2.536 -1.538
```

Computed properties:
* energy above the most stable polymorph in this dataset: 0.299 eV/atom

***

(3)
Density functional theory data (PBE) for crystalline TlIr2Pt2 at its relaxed geometry.

Structure (extended XYZ):
```
5
Lattice="-2.182 2.910 0.644 -2.609 -1.479 -2.156 -5.001 -2.411 4.540" Properties=species:S:1:pos:R:3 pbc="T T T"
Ir -5.003 -1.587 0.814
Ir -4.789 0.608 2.214
Tl 0.000 0.000 0.000
Pt -2.931 0.074 0.331
Pt -6.862 -1.053 2.697
```

Computed properties:
* calculated formation energy: 0.391 eV per atom
* energy above the most stable polymorph in this dataset: 0.044 eV/atom

***

(4)
Density functional theory data (PBE) for crystalline Cd4Ag3Hg at its relaxed geometry.

Structure (extended XYZ):
```
8
Lattice="-1.091 1.487 -2.436 -4.900 -1.475 1.294 3.525 8.820 5.723" Properties=species:S:1:pos:R:3 pbc="T T T"
Ag -4.109 1.774 1.007
Ag 1.643 7.059 3.574
Ag -2.450 -0.738 0.647
Cd -1.280 7.035 2.953
Cd -2.769 4.515 2.081
Cd 0.303 4.317 2.500
Cd -1.185 1.797 1.628
Hg -0.546 0.744 -1.218
```

Computed properties:
* calculated formation energy: 0.010 eV per atom
* energy above the most stable polymorph in this dataset: 0.023 eV/atom

***

(5)
Density functional theory data (PBE) for crystalline GePd3W at its relaxed geometry.

Structure (extended XYZ):
```
5
Lattice="-3.241 -0.782 3.496 -3.271 -1.276 -3.318 1.461 -4.593 0.326" Properties=species:S:1:pos:R:3 pbc="T T T"
Ge -2.526 -3.326 0.252
Pd -1.635 -0.638 -1.659
Pd 0.730 -2.297 0.163
Pd -1.621 -0.391 1.748
W 0.000 0.000 0.000
```

Computed properties:
* calculated formation energy: 1.158 eV per atom
* energy above the most stable polymorph in this dataset: 0.221 eV/atom

***

(6)
Density functional theory data (PBE) for crystalline TbDyTm4Sc2 at its relaxed geometry.

Structure (extended XYZ):
```
16
Lattice="11.540 -0.307 -2.955 0.146 6.893 -0.153 -8.284 -3.101 7.988" Properties=species:S:1:pos:R:3 pbc="T T T"
Tb 0.073 3.446 -0.077
Tb 7.471 1.588 0.962
Sc 1.628 -1.704 2.516
Sc 5.843 3.293 -1.554
Sc 5.770 -0.154 -1.478
Sc -4.142 -1.551 3.994
Dy 1.701 1.742 2.440
Dy 3.256 -3.409 5.033
Tm 8.655 1.493 -2.245
Tm -1.172 3.554 3.165
Tm -5.252 1.991 7.125
Tm -5.288 -1.458 7.161
Tm -1.246 0.086 3.242
Tm 8.691 4.942 -2.281
Tm 4.575 -0.070 1.714
Tm 4.648 3.398 1.637
```

Computed properties:
* calculated formation energy: 0.041 eV per atom

***

(7)
Density functional theory data (PBE) for crystalline ZrAg2W at its relaxed geometry.

Structure (extended XYZ):
```
4
Lattice="4.412 0.000 0.000 0.000 4.048 0.000 0.000 0.000 4.048" Properties=species:S:1:pos:R:3 pbc="T T T"
Ag 0.000 0.000 0.000
Ag 0.000 2.024 2.024
W 2.206 2.024 0.000
Zr 2.206 0.000 2.024
```

Computed properties:
* calculated formation energy: 0.398 eV per atom

***

(8)
Density functional theory data (PBE) for crystalline ErTm5Hg6 at its relaxed geometry.

Structure (extended XYZ):
```
12
Lattice="-4.675 1.227 1.874 2.622 -0.494 6.866 -0.424 8.187 0.751" Properties=species:S:1:pos:R:3 pbc="T T T"
Hg -0.406 5.532 2.536
Hg -3.378 3.634 3.534
Hg -0.372 0.243 6.083
Hg 0.900 5.286 5.956
Hg -2.072 3.389 6.954
Hg -1.681 0.490 2.656
Tm 1.311 -0.247 3.433
Tm -3.401 6.272 1.750
Tm -1.699 3.143 0.875
Tm -0.390 2.885 4.308
Tm -2.087 6.036 5.182
Er 0.000 0.000 0.000
```

Computed properties:
* calculated formation energy: -0.480 eV per atom